# 1
Here is a geometry-optimized CoCu2Sb structure from Alexandria. Energies are from PBE.

Unit cell a=6.0538 b=6.0538 c=6.0538 alpha=90.00 beta=90.00 gamma=90.00
Space group F-43m (No. 216)
Unique sites:
1 Co 0.0000 0.0000 0.0000 [4 per cell]
2 Cu 0.0000 0.0000 0.5000 [4 per cell]
3 Cu 0.2500 0.2500 0.2500 [4 per cell]
4 Sb 0.2500 0.2500 0.7500 [4 per cell]

Summary:
**D(E_F)**: 0.763 states/eV per atom
**Calculated total energy**: -75.385 eV for the cell shown


# 2
Here is a geometry-optimized Li2CaHf structure from Alexandria. Energies are from PBE.

Unit cell a=7.1990 b=7.1990 c=7.1990 alpha=90.00 beta=90.00 gamma=90.00
Space group Fm-3m (No. 225)
Unique sites:
1 Li 0.2500 0.2500 0.2500 [8 per cell]
2 Ca 0.0000 0.0000 0.0000 [4 per cell]
3 Hf 0.0000 0.0000 0.5000 [4 per cell]

Summary:
**D(E_F)**: 0.476 states/eV per atom
**ΔE to the lowest computed polymorph**: 0 meV/atom
**Energy of formation from the pure elements**: 185 kJ/mol of formula units


# 3
Here is a geometry-optimized CrIr2Rh structure from Alexandria. Energies are from PBE.

Unit cell a=6.1457 b=6.1457 c=6.1457 alpha=90.00 beta=90.00 gamma=90.00
Space group F-43m (No. 216)
Unique sites:
1 Cr 0.0000 0.0000 0.0000 [4 per cell]
2 Ir 0.0000 0.0000 0.5000 [4 per cell]
3 Ir 0.2500 0.2500 0.2500 [4 per cell]
4 Rh 0.2500 0.2500 0.7500 [4 per cell]

Summary:
**D(E_F)**: 1.535 states/eV per atom
**Energy of formation from the pure elements**: 123 kJ/mol of formula units


# 4
Here is a geometry-optimized BaNiC3 structure from Alexandria. Energies are from PBE.

Unit cell a=4.6278 b=4.6278 c=4.6278 alpha=90.00 beta=90.00 gamma=90.00
Space group Pm-3m (No. 221)
Unique sites:
1 Ba 0.0000 0.0000 0.0000 [1 per cell]
2 Ni 0.5000 0.5000 0.5000 [1 per cell]
3 C 0.0000 0.0000 0.5000 [3 per cell]

Summary:
**D(E_F)**: 0.491 states/eV per atom
**ΔE to the lowest computed polymorph**: 2069 meV/atom
**Energy of formation from the pure elements**: 1923 kJ/mol of formula units


# 5
Here is a geometry-optimized Tb8TlCu2 structure from Alexandria. Energies are from PBE.

Unit cell a=8.7060 b=13.6395 c=5.4199 alpha=90.00 beta=106.59 gamma=90.00
Space group C2/m (No. 12)
Unique sites:
1 Tb 0.0000 0.2403 0.0000 [4 per cell]
2 Tb 0.1049 0.5000 0.8053 [4 per cell]
3 Tb 0.2075 0.1250 0.5860 [8 per cell]
4 Tl 0.0000 0.0000 0.0000 [2 per cell]
5 Cu 0.0000 0.3060 0.5000 [4 per cell]

Summary:
**D(E_F)**: 1.474 states/eV per atom
**ΔE to the lowest computed polymorph**: 83 meV/atom
**Energy of formation from the pure elements**: -50 kJ/mol of formula units


# 6
Here is a geometry-optimized PuMgScTl structure from Alexandria. Energies are from PBE.

Unit cell a=7.3934 b=7.3934 c=7.3934 alpha=90.00 beta=90.00 gamma=90.00
Space group F-43m (No. 216)
Unique sites:
1 Pu 0.0000 0.0000 0.0000 [4 per cell]
2 Mg 0.2500 0.2500 0.2500 [4 per cell]
3 Sc 0.0000 0.0000 0.5000 [4 per cell]
4 Tl 0.2500 0.2500 0.7500 [4 per cell]

Summary:
**D(E_F)**: 1.871 states/eV per atom
**Energy of formation from the pure elements**: -5 kJ/mol of formula units


# 7
Here is a geometry-optimized Mg2Co2Cu structure from Alexandria. Energies are from PBE.

Unit cell a=6.0943 b=6.0943 c=3.9676 alpha=90.00 beta=90.00 gamma=90.00
Space group P4/mbm (No. 127)
Unique sites:
1 Mg 0.1745 0.3255 0.0000 [4 per cell]
2 Co 0.1256 0.6256 0.5000 [4 per cell]
3 Cu 0.0000 0.0000 0.5000 [2 per cell]

Summary:
**D(E_F)**: 0.936 states/eV per atom
**Energy of formation from the pure elements**: 60 kJ/mol of formula units


# 8
Here is a geometry-optimized Nd3Er3ScSe8 structure from Alexandria. Energies are from PBE.

Unit cell a=8.1573 b=8.1573 c=20.3758 alpha=90.00 beta=90.00 gamma=120.00
Space group R-3m (No. 166, hexagonal axes)
Unique sites:
1 Nd 0.0000 0.5000 0.0000 [9 per cell]
2 Er 0.0000 0.5000 0.5000 [9 per cell]
3 Sc 0.0000 0.0000 0.5000 [3 per cell]
4 Se 0.0000 0.0000 0.2445 [6 per cell]
5 Se 0.0023 0.5011 0.2440 [18 per cell]

Summary:
**D(E_F)**: 0.476 states/eV per atom
**Calculated total energy**: -268.220 eV for the cell shown


# 9
Here is a geometry-optimized PrPaPdO6 structure from Alexandria. Energies are from PBE.

Unit cell a=5.4981 b=5.4981 c=4.9347 alpha=90.00 beta=90.00 gamma=120.00
Space group P312 (No. 149)
Unique sites:
1 Pr 0.0000 0.0000 0.0000 [1 per cell]
2 Pa 0.6667 0.3333 0.5000 [1 per cell]
3 Pd 0.3333 0.6667 0.0000 [1 per cell]
4 O 0.0116 0.3772 0.2440 [6 per cell]

Summary:
**Calculated total energy**: -70.095 eV for the cell shown


# 10
Here is a geometry-optimized MnCdTe2 structure from Alexandria. Energies are from PBE.

Unit cell a=4.2096 b=4.2096 c=6.0338 alpha=90.00 beta=90.00 gamma=90.00
Space group P4/mmm (No. 123)
Unique sites:
1 Mn 0.0000 0.0000 0.0000 [1 per cell]
2 Cd 0.5000 0.5000 0.5000 [1 per cell]
3 Te 0.0000 0.0000 0.5000 [1 per cell]
4 Te 0.5000 0.5000 0.0000 [1 per cell]

Summary:
**D(E_F)**: 0.314 states/eV per atom
**Calculated total energy**: -16.906 eV for the cell shown


# 11
Here is a geometry-optimized NdYGeAu structure from Alexandria. Energies are from PBE.

Unit cell a=7.3115 b=7.3115 c=7.3115 alpha=90.00 beta=90.00 gamma=90.00
Space group F-43m (No. 216)
Unique sites:
1 Nd 0.0000 0.0000 0.0000 [4 per cell]
2 Y 0.0000 0.0000 0.5000 [4 per cell]
3 Ge 0.2500 0.2500 0.7500 [4 per cell]
4 Au 0.2500 0.2500 0.2500 [4 per cell]

Summary:
**D(E_F)**: 0.912 states/eV per atom
**Energy of formation from the pure elements**: -284 kJ/mol of formula units


# 12
Here is a geometry-optimized DyY3Pd6 structure from Alexandria. Energies are from PBE.

Unit cell a=8.3684 b=4.6553 c=11.0791 alpha=90.00 beta=105.91 gamma=90.00
Space group P2_1/m (No. 11)
Unique sites:
1 Dy 0.0892 0.2500 0.4134 [2 per cell]
2 Y 0.1605 0.2500 0.9927 [2 per cell]
3 Y 0.3951 0.7500 0.8406 [2 per cell]
4 Y 0.4906 0.7500 0.3806 [2 per cell]
5 Pd 0.0603 0.7500 0.8429 [2 per cell]
6 Pd 0.1295 0.7500 0.2378 [2 per cell]
7 Pd 0.1757 0.2500 0.7002 [2 per cell]
8 Pd 0.2719 0.7500 0.5631 [2 per cell]
9 Pd 0.3227 0.2500 0.2602 [2 per cell]
10 Pd 0.3714 0.7500 0.1039 [2 per cell]

Summary:
**D(E_F)**: 0.493 states/eV per atom
**Energy of formation from the pure elements**: -815 kJ/mol of formula units


Please write out number 6 again, unchanged.
Here is a geometry-optimized PuMgScTl structure from Alexandria. Energies are from PBE.

Unit cell a=7.3934 b=7.3934 c=7.3934 alpha=90.00 beta=90.00 gamma=90.00
Space group F-43m (No. 216)
Unique sites:
1 Pu 0.0000 0.0000 0.0000 [4 per cell]
2 Mg 0.2500 0.2500 0.2500 [4 per cell]
3 Sc 0.0000 0.0000 0.5000 [4 per cell]
4 Tl 0.2500 0.2500 0.7500 [4 per cell]

Summary:
**D(E_F)**: 1.871 states/eV per atom
**Energy of formation from the pure elements**: -5 kJ/mol of formula units